Below is CoTePdO after structural relaxation, with properties calculated at the PBE with a Hubbard U level.

Results
* density: 7.9 g/cm3
* offset from the most stable computed form: 0.04 eV per formula unit

abc: 4.006 4.006 8.117
angles: 90.00 90.00 90.00
Sites, in units of the cell vectors:
1 Co 0.250 0.750 0.000
2 Co 0.750 0.250 0.000
3 Te 0.250 0.250 0.358
4 Te 0.750 0.750 0.642
5 Pd 0.250 0.250 0.680
6 Pd 0.750 0.750 0.320
7 O 0.250 0.250 0.958
8 O 0.750 0.750 0.042